Sr3NbP after structural relaxation, computed with GGA-PBE.

Computed properties:
Crystal system   cubic
E_tot   -19.36 eV for the cell shown
DOS at the Fermi energy   1.75 states/eV/f.u.

The structure in CIF format:
```
data_Sr3NbP
_symmetry_space_group_name_H-M 'P m -3 m'
_symmetry_Int_Tables_number 221
_symmetry_space_group_name_Hall '-P 4 2 3'
_cell_length_a 5.848
_cell_length_b 5.848
_cell_length_c 5.848
_cell_angle_alpha 90.00
_cell_angle_beta 90.00
_cell_angle_gamma 90.00
loop_
_atom_site_label
_atom_site_type_symbol
_atom_site_fract_x
_atom_site_fract_y
_atom_site_fract_z
_atom_site_occupancy
Sr1 Sr 0.000 0.000 0.500 1
Nb1 Nb 0.500 0.500 0.500 1
P1 P 0.000 0.000 0.000 1
```